Compound: MnTeO2
Source: Alexandria via LeMat-Bulk
Functional: PBE with a Hubbard U
Structure: relaxed

a = 6.6909 Å, b = 6.6909 Å, c = 6.6909 Å
α = 28.46°, β = 28.46°, γ = 28.46°
Last column: nearest neighbours and their distance in Å.
Fractional positions:
O1 0.8902 0.8902 0.8902  1 Te 2.11, 3 Mn 2.19
O2 0.1098 0.1098 0.1098  1 Te 2.11, 3 Mn 2.19
Te1 0.0000 0.0000 0.0000  2 O 2.11
Mn1 0.5000 0.5000 0.5000  6 O 2.19

## Properties
- space-group type = R-3m, No. 166
- raw total energy (eV for the cell shown) = -25.1